1.
Tb2CeZr: relaxed, PBE.

Computed properties:
Its formation energy is 232 meV per atom. The symmetry is No. 123. The polymorph energy (0 for the lowest one) comes out at 112 meV/atom.

```
Tb2CeZr
1.0
4.0338 0.0000 0.0000
0.0000 4.0338 0.0000
0.0000 0.0000 7.1235
Tb Ce Zr
2 1 1
direct
0.0000 0.0000 0.2285
0.0000 0.0000 0.7715
0.5000 0.5000 0.5000
0.5000 0.5000 0.0000
```



2.
Fe3Co5: relaxed, PBE.

Computed properties:
Its formation energy is -14 meV per atom. The symmetry is No. 166.

```
Fe3Co5
1.0
2.0001 1.1548 6.5532
-2.0001 1.1548 6.5532
0.0000 -2.3095 6.5532
Fe Co
3 5
direct
0.0000 0.0000 0.0000
0.2479 0.2479 0.2479
0.7521 0.7521 0.7521
0.1233 0.1233 0.1233
0.3741 0.3741 0.3741
0.5000 0.5000 0.5000
0.6259 0.6259 0.6259
0.8767 0.8767 0.8767
```



3.
SrGa2TcSn: relaxed, PBE.

Computed properties:
Its formation energy is -249 meV per atom. The symmetry is No. 123.

```
SrGa2TcSn
1.0
4.8941 0.0000 0.0000
0.0000 4.8941 0.0000
0.0000 0.0000 5.1853
Sr Ga Tc Sn
1 2 1 1
direct
0.0000 0.0000 0.0000
0.0000 0.5000 0.5000
0.5000 0.0000 0.5000
0.5000 0.5000 0.5000
0.5000 0.5000 0.0000
```



4.
MgSbIr2: relaxed, PBE.

Computed properties:
The symmetry is No. 139. The formation energy from raw total energies is -0.24 eV/atom.

```
MgSbIr2
1.0
-2.1245 2.1245 3.6161
2.1245 -2.1245 3.6161
2.1245 2.1245 -3.6161
Mg Sb Ir
1 1 2
direct
0.0000 0.0000 0.0000
0.5000 0.5000 0.0000
0.2500 0.7500 0.5000
0.7500 0.2500 0.5000
```



5.
SrLaRu3: relaxed, PBE.

Computed properties:
Its formation energy is 1175 meV per atom. The symmetry is No. 221. The polymorph energy (0 for the lowest one) comes out at 0 meV/atom.

```
SrLaRu3
1.0
4.9659 0.0000 0.0000
0.0000 4.9659 0.0000
0.0000 0.0000 4.9659
Sr La Ru
1 1 3
direct
0.0000 0.0000 0.0000
0.5000 0.5000 0.5000
0.0000 0.5000 0.5000
0.5000 0.0000 0.5000
0.5000 0.5000 0.0000
```



6.
Nb2CrRe: relaxed, PBE.

Computed properties:
Its formation energy is 803 meV per atom. The symmetry is No. 71.

```
Nb2CrRe
1.0
-1.4787 2.2163 5.1234
1.4787 -2.2163 5.1234
1.4787 2.2163 -5.1234
Nb Cr Re
2 1 1
direct
0.2413 0.2413 0.0000
0.7587 0.7587 0.0000
0.0000 0.0000 0.0000
0.5000 0.5000 0.0000
```



7.
LiReAgO4: relaxed, PBE.

Computed properties:
The symmetry is No. 82. The formation energy from raw total energies is -1.29 eV/atom.

```
LiReAgO4
1.0
-2.5852 2.5852 4.4809
2.5852 -2.5852 4.4809
2.5852 2.5852 -4.4809
Li Re Ag O
1 1 1 4
direct
0.0000 0.0000 0.0000
0.7500 0.2500 0.5000
0.5000 0.5000 0.0000
0.0309 0.5992 0.8822
0.4008 0.2830 0.4317
0.7170 0.1487 0.1178
0.8513 0.9691 0.5683
```



8.
La2Nd3In: relaxed, PBE.

Computed properties:
Its formation energy is -113 meV per atom. The symmetry is No. 15. The polymorph energy (0 for the lowest one) comes out at 40 meV/atom.

```
La2Nd3In
1.0
8.8570 -3.2631 0.0000
8.8570 3.2631 0.0000
-0.0068 0.0000 7.0657
La Nd In
4 6 2
direct
0.1507 0.2008 0.2490
0.2008 0.1507 0.7490
0.7992 0.8493 0.2510
0.8493 0.7992 0.7510
0.1846 0.8154 0.2500
0.3584 0.3588 0.4999
0.3588 0.3584 0.9999
0.6412 0.6416 0.0001
0.6416 0.6412 0.5001
0.8154 0.1846 0.7500
0.3040 0.6960 0.7500
0.6960 0.3040 0.2500
```



9.
PmSm3Dy6Ho2: relaxed, PBE.

Computed properties:
Its formation energy is 15 meV per atom. The symmetry is No. 12.

```
PmSm3Dy6Ho2
1.0
3.0916 -5.3516 0.0000
3.0916 5.3516 0.0000
-2.0514 0.0000 11.6396
Pm Sm Dy Ho
1 3 6 2
direct
0.0000 0.0000 0.0000
0.1669 0.8331 0.5000
0.5000 0.5000 0.5000
0.8331 0.1669 0.5000
0.0835 0.4173 0.2485
0.2506 0.2506 0.7516
0.4173 0.0835 0.2485
0.5827 0.9165 0.7515
0.7494 0.7494 0.2484
0.9165 0.5827 0.7515
0.3332 0.6668 0.0000
0.6668 0.3332 0.0000
```



10.
BiSe3O: relaxed, PBE.

Computed properties:
The symmetry is No. 221. The formation energy from raw total energies is 0.24 eV/atom. The polymorph energy (0 for the lowest one) comes out at 0 meV/atom.

```
BiSe3O
1.0
4.6412 0.0000 0.0000
0.0000 4.6412 0.0000
0.0000 0.0000 4.6412
Bi Se O
1 3 1
direct
0.0000 0.0000 0.0000
0.0000 0.5000 0.5000
0.5000 0.0000 0.5000
0.5000 0.5000 0.0000
0.5000 0.5000 0.5000
```



11.
ZrPtSe4: relaxed, PBE.

Computed properties:
The symmetry is No. 216. The formation energy from raw total energies is 0.45 eV/atom.

```
ZrPtSe4
1.0
0.0000 3.9104 3.9104
3.9104 0.0000 3.9104
3.9104 3.9104 0.0000
Zr Pt Se
1 1 4
direct
0.0000 0.0000 0.0000
0.7500 0.7500 0.7500
0.3753 0.3753 0.3753
0.3753 0.3753 0.8742
0.3753 0.8742 0.3753
0.8742 0.3753 0.3753
```



12.
TlGa3Se: relaxed, PBE.

Computed properties:
The symmetry is No. 221. The formation energy from raw total energies is 0.47 eV/atom. The polymorph energy (0 for the lowest one) comes out at 144 meV/atom.

```
TlGa3Se
1.0
5.3402 0.0000 0.0000
0.0000 5.3402 0.0000
0.0000 0.0000 5.3402
Tl Ga Se
1 3 1
direct
0.0000 0.0000 0.0000
0.0000 0.0000 0.5000
0.0000 0.5000 0.0000
0.5000 0.0000 0.0000
0.5000 0.5000 0.5000
```



13.
Sc2Ag2Bi: relaxed, PBE.

Computed properties:
Its formation energy is -120 meV per atom. The symmetry is No. 139. The polymorph energy (0 for the lowest one) comes out at 148 meV/atom.

```
Sc2Ag2Bi
1.0
-1.9401 1.9401 7.7688
1.9401 -1.9401 7.7688
1.9401 1.9401 -7.7688
Sc Ag Bi
2 2 1
direct
0.1021 0.1021 0.0000
0.8979 0.8979 0.0000
0.2500 0.7500 0.5000
0.7500 0.2500 0.5000
0.5000 0.5000 0.0000
```